Computed, not measured: an optimized crystal structure of AcVF5 at the PBE with a Hubbard U level of DFT.

Lattice parameters (Å, degrees): 6.0254 6.0254 8.3016 110.24 110.24 71.29
Positions (direct):
Ac (0.0545, 0.9455, 0.7500)
Ac (0.9455, 0.0545, 0.2500)
V (0.5000, 0.5000, 0.0000)
V (0.5000, 0.5000, 0.5000)
F (0.1882, 0.7955, 0.0301)
F (0.2045, 0.8118, 0.4699)
F (0.2439, 0.2871, 0.3808)
F (0.2871, 0.2439, 0.8808)
F (0.4141, 0.5859, 0.7500)
F (0.5859, 0.4141, 0.2500)
F (0.7129, 0.7561, 0.1192)
F (0.7561, 0.7129, 0.6192)
F (0.7955, 0.1882, 0.5301)
F (0.8118, 0.2045, 0.9699)

Calculated values
E, eV/atom: -6.488
Magnetic moment, Bohr magnetons per cell: 6.000